Entry 1:
Density functional theory data (GGA-PBE) for a relaxed structure of RbZnGaAu3.

Cell lengths 7.4448, 7.4448, 6.8456 Å; angles 90.00, 90.00, 123.61 degrees
With the nearest neighbours (Å) after each atom.
Fractional coordinates of all 12 atoms:
Rb (0.2377, 0.7623, 0.7500)  4 Au 3.47-3.52, 1 Zn 3.77
Rb (0.7623, 0.2377, 0.2500)  4 Au 3.47-3.52, 1 Zn 3.77
Zn (0.4749, 0.5251, 0.2500)  5 Au 2.57-2.61
Zn (0.5251, 0.4749, 0.7500)  5 Au 2.57-2.61
Ga (0.0872, 0.9128, 0.2500)  5 Au 2.52-2.59
Ga (0.9128, 0.0872, 0.7500)  5 Au 2.52-2.59
Au (0.2239, 0.2239, 0.0000)  2 Ga 2.59, 2 Zn 2.61
Au (0.2239, 0.2239, 0.5000)  2 Ga 2.59, 2 Zn 2.61
Au (0.2791, 0.7209, 0.2500)  1 Ga 2.52, 1 Zn 2.57
Au (0.7209, 0.2791, 0.7500)  1 Ga 2.52, 1 Zn 2.57
Au (0.7761, 0.7761, 0.0000)  2 Ga 2.59, 2 Zn 2.61
Au (0.7761, 0.7761, 0.5000)  2 Ga 2.59, 2 Zn 2.61

Output
**N(E_F)**: 1.7 states/eV/f.u.
**SG**: Cmcm, No. 63
**Energy relative to the elements**: -0.218 eV per atom
**Crystal system**: orthorhombic
**DFT total energy**: -32.8 eV per cell



Entry 2:
Density functional theory data (GGA-PBE) for a relaxed structure of RbZn2GaAu.

Cell lengths 5.0901, 5.0901, 5.1668 Å; angles 90.00, 90.00, 90.00 degrees
With the nearest neighbours (Å) after each atom.
Fractional coordinates of all 5 atoms:
Rb (0.0000, 0.0000, 0.0000)  4 Ga 3.60, 8 Zn 3.63
Zn (0.0000, 0.5000, 0.5000)  2 Au 2.55
Zn (0.5000, 0.0000, 0.5000)  2 Au 2.55
Ga (0.5000, 0.5000, 0.0000)  2 Au 2.58
Au (0.5000, 0.5000, 0.5000)  4 Zn 2.55, 2 Ga 2.58

Output
**N(E_F)**: 2.1 states/eV/f.u.
**SG**: P4/mmm, No. 123
**Energy relative to the elements**: -0.005 eV per atom
**Crystal system**: tetragonal
**DFT total energy**: -9.8 eV per cell



Entry 3:
Density functional theory data (GGA-PBE) for a relaxed structure of RbZrGaAu2.

Cell lengths 5.0988, 5.0988, 5.1781 Å; angles 90.00, 90.00, 90.00 degrees
With the nearest neighbours (Å) after each atom.
Fractional coordinates of all 5 atoms:
Rb (0.0000, 0.0000, 0.0000)  4 Zr 3.61, 8 Au 3.63
Zr (0.5000, 0.5000, 0.0000)  2 Ga 2.59
Ga (0.5000, 0.5000, 0.5000)  4 Au 2.55, 2 Zr 2.59
Au (0.0000, 0.5000, 0.5000)  2 Ga 2.55
Au (0.5000, 0.0000, 0.5000)  2 Ga 2.55

Output
**N(E_F)**: 4.2 states/eV/f.u.
**SG**: P4/mmm, No. 123
**Energy relative to the elements**: 0.341 eV per atom
**Crystal system**: tetragonal
**DFT total energy**: -17.4 eV per cell



Entry 4:
Density functional theory data (GGA-PBE) for a relaxed structure of Ga2ReAu.

Cell lengths 4.4527, 4.4527, 4.4527 Å; angles 60.00, 60.00, 60.00 degrees
With the nearest neighbours (Å) after each atom.
Fractional coordinates of all 4 atoms:
Ga (0.2500, 0.2500, 0.2500)  4 Re 2.73, 4 Au 2.73
Ga (0.7500, 0.7500, 0.7500)  4 Re 2.73, 4 Au 2.73
Re (0.0000, 0.0000, 0.0000)  8 Ga 2.73
Au (0.5000, 0.5000, 0.5000)  8 Ga 2.73

Output
**Relative energy among the computed polymorphs**: 0 meV/atom
**N(E_F)**: 2.3 states/eV/f.u.
**SG**: Fm-3m, No. 225
**Energy relative to the elements**: 0.276 eV per atom
**Crystal system**: cubic
**DFT total energy**: -20.7 eV per cell



Entry 5:
Density functional theory data (GGA-PBE) for a relaxed structure of Ga2ReAu.

Cell lengths 10.6732, 10.6732, 10.6732 Å; angles 14.89, 14.89, 14.89 degrees
With the nearest neighbours (Å) after each atom.
Fractional coordinates of all 4 atoms:
Ga (0.0841, 0.0841, 0.0841)  1 Re 2.66, 6 Ga 2.77
Ga (0.9159, 0.9159, 0.9159)  1 Re 2.66, 6 Ga 2.77
Re (0.0000, 0.0000, 0.0000)  2 Ga 2.66, 6 Re 2.77
Au (0.5000, 0.5000, 0.5000)  6 Au 2.77, 6 Ga 3.06

Output
**Relative energy among the computed polymorphs**: 64 meV/atom
**N(E_F)**: 1.7 states/eV/f.u.
**SG**: R-3m, No. 166
**Energy relative to the elements**: 0.340 eV per atom
**Crystal system**: trigonal
**DFT total energy**: -20.4 eV per cell



Entry 6:
Density functional theory data (GGA-PBE) for a relaxed structure of Ga3ReAu.

Cell lengths 4.8383, 4.8383, 4.8383 Å; angles 90.00, 90.00, 90.00 degrees
With the nearest neighbours (Å) after each atom.
Fractional coordinates of all 5 atoms:
Ga (0.0000, 0.0000, 0.5000)  2 Re 2.42
Ga (0.0000, 0.5000, 0.0000)  2 Re 2.42
Ga (0.5000, 0.0000, 0.0000)  2 Re 2.42
Re (0.0000, 0.0000, 0.0000)  6 Ga 2.42
Au (0.5000, 0.5000, 0.5000)  12 Ga 3.42

Output
**Relative energy among the computed polymorphs**: 0 meV/atom
**N(E_F)**: 2.7 states/eV/f.u.
**SG**: Pm-3m, No. 221
**Energy relative to the elements**: 0.485 eV per atom
**Crystal system**: cubic
**DFT total energy**: -22.4 eV per cell



Entry 7:
Density functional theory data (GGA-PBE) for a relaxed structure of Ga2ReAu.

Cell lengths 5.6918, 5.6918, 5.6918 Å; angles 104.70, 104.70, 119.50 degrees
With the nearest neighbours (Å) after each atom.
Fractional coordinates of all 8 atoms:
Ga (0.1246, 0.1250, 0.4996)  2 Re 2.56, 2 Au 2.56
Ga (0.3750, 0.8754, 0.0004)  2 Re 2.56, 2 Au 2.56
Ga (0.6254, 0.6250, 0.5004)  2 Re 2.56, 2 Au 2.56
Ga (0.8750, 0.3746, 0.9996)  2 Re 2.56, 2 Au 2.56
Re (0.0000, 0.0000, 0.0000)  4 Ga 2.56
Re (0.7500, 0.2500, 0.5000)  4 Ga 2.56
Au (0.2500, 0.7500, 0.5000)  4 Ga 2.56, 2 Re 2.87
Au (0.5000, 0.5000, 0.0000)  4 Ga 2.56, 2 Re 2.87

Output
**Relative energy among the computed polymorphs**: 218 meV/atom
**N(E_F)**: 0.2 states/eV/f.u.
**SG**: I-42d, No. 122
**Energy relative to the elements**: 0.494 eV per atom
**Crystal system**: tetragonal
**DFT total energy**: -39.6 eV per cell



Entry 8:
Density functional theory data (GGA-PBE) for a relaxed structure of ScGa2ReAu.

Cell lengths 4.8357, 4.8357, 4.9330 Å; angles 90.00, 90.00, 90.00 degrees
With the nearest neighbours (Å) after each atom.
Fractional coordinates of all 5 atoms:
Sc (0.0000, 0.0000, 0.0000)  2 Re 2.47
Ga (0.0000, 0.5000, 0.5000)  2 Re 2.42
Ga (0.5000, 0.0000, 0.5000)  2 Re 2.42
Re (0.0000, 0.0000, 0.5000)  4 Ga 2.42, 2 Sc 2.47
Au (0.5000, 0.5000, 0.0000)  4 Sc 3.42, 8 Ga 3.45

Output
**N(E_F)**: 3.6 states/eV/f.u.
**SG**: P4/mmm, No. 123
**Energy relative to the elements**: 0.296 eV per atom
**Crystal system**: tetragonal
**DFT total energy**: -26.6 eV per cell



Copy entry 3 word for word.
Density functional theory data (GGA-PBE) for a relaxed structure of RbZrGaAu2.

Cell lengths 5.0988, 5.0988, 5.1781 Å; angles 90.00, 90.00, 90.00 degrees
With the nearest neighbours (Å) after each atom.
Fractional coordinates of all 5 atoms:
Rb (0.0000, 0.0000, 0.0000)  4 Zr 3.61, 8 Au 3.63
Zr (0.5000, 0.5000, 0.0000)  2 Ga 2.59
Ga (0.5000, 0.5000, 0.5000)  4 Au 2.55, 2 Zr 2.59
Au (0.0000, 0.5000, 0.5000)  2 Ga 2.55
Au (0.5000, 0.0000, 0.5000)  2 Ga 2.55

Output
**N(E_F)**: 4.2 states/eV/f.u.
**SG**: P4/mmm, No. 123
**Energy relative to the elements**: 0.341 eV per atom
**Crystal system**: tetragonal
**DFT total energy**: -17.4 eV per cell



Which value of N(E_F) does entry 5 give?
1.7 states/eV/f.u.



What is the N(E_F) in the first record?
1.7 states/eV/f.u.